VASP calculation (GGA-PBE) on crystalline CrReTe at its relaxed geometry.

Values from the calculation:
Its uncorrected formation energy is 0.72 eV/atom. Its total magnetic moment is 1.15 μB per formula unit. As for the distance to the lowest polymorph of the same formula: 267.4 meV/atom. The density comes out at 12.34 g/cm3. The density of states at the Fermi level comes out at 4.99 states/eV per cell.

a b c (Å): 3.098 4.033 7.883
angles (deg): 90.00 90.00 90.00
Space group Imm2 (No. 44)
Unique sites:
Cr: 0.000 0.000 0.000 [2 per cell]
Re: 0.000 0.000 0.658 [2 per cell]
Te: 0.000 0.000 0.325 [2 per cell]